# 1
An optimized crystal structure of Rb2AlReBr6. Source: Alexandria via LeMat-Bulk, functional PBE-GGA.

Calculated density, g/cm3: 4.4
Crystal system: cubic
Symmetry: No. 225
ΔE_f (raw), eV per formula unit: -7.4

a b c (Å): 7.752 7.752 7.750
angles (deg): 59.99 59.99 90.00
Site moments in Bohr magnetons follow the coordinates.
Fractional positions:
Re 0.000 0.000 0.000  1.56
Br 0.765 0.765 0.470  0.02
Br 0.235 0.235 0.000  0.02
Br 0.235 0.765 0.000  0.03
Br 0.235 0.235 0.530  0.02
Br 0.765 0.235 0.000  0.03
Br 0.765 0.765 0.000  0.02
Rb 0.750 0.250 0.500  0.00
Rb 0.250 0.750 0.500  0.00
Al 0.500 0.500 0.000  -0.01

# 2
An optimized crystal structure of Rb2AlSBr6. Source: Alexandria via LeMat-Bulk, functional PBE-GGA.

Calculated density, g/cm3: 3.4
Crystal system: tetragonal
Symmetry: No. 139
ΔE_f (raw), eV per formula unit: -9.5

a b c (Å): 8.126 8.126 7.768
angles (deg): 58.46 58.46 90.00
Site moments in Bohr magnetons follow the coordinates.
Fractional positions:
S 0.000 0.000 0.000  0.45
Rb 0.750 0.250 0.500  0.00
Rb 0.250 0.750 0.500  0.00
Br 0.714 0.286 0.000  0.03
Br 0.286 0.286 0.000  0.03
Br 0.766 0.766 0.467  0.05
Br 0.714 0.714 0.000  0.03
Br 0.286 0.714 0.000  0.03
Br 0.234 0.234 0.533  0.05
Al 0.500 0.500 0.000  0.00

# 3
An optimized crystal structure of RbAlSe2Br. Source: Alexandria via LeMat-Bulk, functional PBE-GGA.

Calculated density, g/cm3: 2.3
Distance to the lowest polymorph of the same formula, eV/atom: 1.350
Crystal system: tetragonal
Symmetry: No. 123
ΔE_f (raw), eV per formula unit: 2.9

a b c (Å): 6.285 6.285 6.320
angles (deg): 90.00 90.00 90.00
Site moments in Bohr magnetons follow the coordinates.
Fractional positions:
Al 0.500 0.500 0.500  0.00
Rb 0.000 0.000 0.000  0.04
Br 0.000 0.000 0.500  0.14
Se 0.000 0.500 0.000  0.82
Se 0.500 0.000 0.000  0.82

# 4
An optimized crystal structure of RbAlSe2Br. Source: Alexandria via LeMat-Bulk, functional PBE-GGA.

Calculated density, g/cm3: 4.2
Distance to the lowest polymorph of the same formula, eV/atom: 0.000
Crystal system: tetragonal
Symmetry: No. 123
ΔE_f (raw), eV per formula unit: -3.9

a b c (Å): 4.930 4.930 5.761
angles (deg): 90.00 90.00 90.00
Fractional positions:
Se 0.000 0.500 0.000
Se 0.500 0.000 0.000
Al 0.000 0.000 0.000
Rb 0.500 0.500 0.500
Br 0.000 0.000 0.500

# 5
An optimized crystal structure of Rb2AlSeBr6. Source: Alexandria via LeMat-Bulk, functional PBE-GGA.

Calculated density, g/cm3: 3.5
Crystal system: tetragonal
Symmetry: No. 139
ΔE_f (raw), eV per formula unit: -9.9

a b c (Å): 8.168 8.168 7.863
angles (deg): 58.71 58.71 90.00
Site moments in Bohr magnetons follow the coordinates.
Fractional positions:
Br 0.286 0.714 0.000  0.03
Br 0.760 0.760 0.481  0.04
Br 0.286 0.286 0.000  0.03
Br 0.714 0.714 0.000  0.03
Br 0.714 0.286 0.000  0.03
Br 0.240 0.240 0.519  0.04
Al 0.500 0.500 0.000  0.00
Rb 0.250 0.750 0.500  0.00
Rb 0.750 0.250 0.500  0.00
Se 0.000 0.000 0.000  0.47

# 6
An optimized crystal structure of Rb2AlSiBr6. Source: Alexandria via LeMat-Bulk, functional PBE-GGA.

Calculated density, g/cm3: 3.7
Crystal system: tetragonal
Symmetry: No. 139
ΔE_f (raw), eV per formula unit: -10.3

a b c (Å): 7.675 7.675 7.663
angles (deg): 59.95 59.95 90.00
Fractional positions:
Br 0.745 0.255 0.000
Br 0.255 0.745 0.000
Br 0.744 0.744 0.512
Br 0.255 0.255 0.000
Br 0.745 0.745 0.000
Br 0.256 0.256 0.488
Al 0.500 0.500 0.000
Rb 0.750 0.250 0.500
Rb 0.250 0.750 0.500
Si 0.000 0.000 0.000

# 7
An optimized crystal structure of Rb2SrAlBr6. Source: Alexandria via LeMat-Bulk, functional PBE-GGA.

Calculated density, g/cm3: 3.4
Crystal system: cubic
Symmetry: No. 225
ΔE_f (raw), eV per formula unit: -14.8

a b c (Å): 8.101 8.101 8.100
angles (deg): 60.00 60.00 90.00
Site moments in Bohr magnetons follow the coordinates.
Fractional positions:
Br 0.263 0.737 0.000  0.04
Br 0.263 0.263 0.000  0.04
Br 0.263 0.263 0.474  0.04
Br 0.737 0.737 0.526  0.04
Br 0.737 0.737 0.000  0.04
Br 0.737 0.263 0.000  0.04
Rb 0.750 0.250 0.500  0.00
Rb 0.250 0.750 0.500  0.00
Sr 0.000 0.000 0.000  0.04
Al 0.500 0.500 0.000  0.24

# 8
An optimized crystal structure of RbSrAl2Br8. Source: Alexandria via LeMat-Bulk, functional PBE-GGA.

Calculated density, g/cm3: 3.2
Crystal system: trigonal
Symmetry: No. 148
ΔE_f (raw), eV per formula unit: -15.6

a b c (Å): 7.177 7.177 11.023
angles (deg): 71.00 71.00 60.00
Site moments in Bohr magnetons follow the coordinates.
Fractional positions:
Rb 0.500 0.500 0.500  0.00
Al 0.751 0.751 0.747  0.05
Al 0.249 0.249 0.253  0.05
Br 0.292 0.940 0.180  0.02
Br 0.828 0.828 0.517  0.01
Br 0.172 0.172 0.483  0.01
Br 0.588 0.292 0.180  0.02
Br 0.412 0.708 0.820  0.02
Br 0.060 0.412 0.820  0.02
Br 0.940 0.588 0.180  0.02
Br 0.708 0.060 0.820  0.02
Sr 0.000 0.000 0.000  0.03

# 9
An optimized crystal structure of Rb2AlTcBr. Source: Alexandria via LeMat-Bulk, functional PBE-GGA.

Calculated density, g/cm3: 2.8
Crystal system: tetragonal
Symmetry: No. 123
ΔE_f (raw), eV per formula unit: 4.3

a b c (Å): 6.834 4.729 6.834
angles (deg): 90.00 90.00 90.00
Site moments in Bohr magnetons follow the coordinates.
Fractional positions:
Br 0.000 0.500 0.000  0.03
Rb 0.000 0.000 0.500  -0.01
Rb 0.500 0.000 0.000  -0.01
Tc 0.000 0.000 0.000  1.92
Al 0.500 0.500 0.500  -0.12

# 10
An optimized crystal structure of RbAlTl2Br6. Source: Alexandria via LeMat-Bulk, functional PBE-GGA.

Calculated density, g/cm3: 4.0
Crystal system: tetragonal
Symmetry: No. 99
ΔE_f (raw), eV per formula unit: -10.8

a b c (Å): 6.870 7.811 7.811
angles (deg): 90.00 90.00 90.00
Site moments in Bohr magnetons follow the coordinates.
Fractional positions:
Br 0.730 0.217 0.783  0.00
Br 0.730 0.217 0.217  0.00
Br 0.293 0.000 0.000  0.00
Br 0.062 0.500 0.500  0.09
Br 0.730 0.783 0.783  0.00
Br 0.730 0.783 0.217  0.00
Tl 0.000 0.500 0.000  0.00
Tl 0.000 0.000 0.500  0.00
Rb 0.537 0.500 0.500  0.00
Al 0.634 0.000 0.000  0.00

# 11
An optimized crystal structure of Rb2AlWBr6. Source: Alexandria via LeMat-Bulk, functional PBE-GGA.

Calculated density, g/cm3: 4.1
Crystal system: cubic
Symmetry: No. 225
ΔE_f (raw), eV per formula unit: -8.3

a b c (Å): 7.870 7.870 7.869
angles (deg): 59.99 59.99 90.00
Site moments in Bohr magnetons follow the coordinates.
Fractional positions:
Rb 0.250 0.750 0.500  0.00
Rb 0.750 0.250 0.500  0.00
Al 0.500 0.500 0.000  -0.01
Br 0.235 0.765 0.000  0.02
Br 0.235 0.235 0.529  0.02
Br 0.765 0.765 0.471  0.02
Br 0.765 0.765 0.000  0.02
Br 0.235 0.235 0.000  0.02
Br 0.765 0.235 0.000  0.02
W 0.000 0.000 0.000  2.21

# 12
An optimized crystal structure of Rb2YAlBr6. Source: Alexandria via LeMat-Bulk, functional PBE-GGA.

Calculated density, g/cm3: 3.2
Crystal system: cubic
Symmetry: No. 225
ΔE_f (raw), eV per formula unit: -14.8

a b c (Å): 8.223 8.223 8.224
angles (deg): 60.00 60.00 90.00
Fractional positions:
Br 0.759 0.759 0.482
Br 0.241 0.759 0.000
Br 0.759 0.241 0.000
Br 0.759 0.759 0.000
Br 0.241 0.241 0.518
Br 0.241 0.241 0.000
Al 0.500 0.500 0.000
Rb 0.750 0.250 0.500
Rb 0.250 0.750 0.500
Y 0.000 0.000 0.000

# 13
An optimized crystal structure of RbAl2ZnBr8. Source: Alexandria via LeMat-Bulk, functional PBE-GGA.

Calculated density, g/cm3: 3.3
Crystal system: trigonal
Symmetry: No. 148
ΔE_f (raw), eV per formula unit: -12.8

a b c (Å): 6.940 6.940 10.914
angles (deg): 71.46 71.46 60.00
Site moments in Bohr magnetons follow the coordinates.
Fractional positions:
Br 0.714 0.051 0.823  0.04
Br 0.588 0.286 0.177  0.04
Br 0.286 0.949 0.177  0.04
Br 0.051 0.412 0.823  0.04
Br 0.412 0.714 0.823  0.04
Br 0.174 0.174 0.478  0.01
Br 0.949 0.588 0.177  0.04
Br 0.826 0.826 0.522  0.01
Al 0.250 0.250 0.249  0.01
Al 0.750 0.750 0.751  0.01
Zn 0.000 0.000 0.000  0.38
Rb 0.500 0.500 0.500  0.00

# 14
An optimized crystal structure of Rb2ZrAlBr6. Source: Alexandria via LeMat-Bulk, functional PBE-GGA.

Calculated density, g/cm3: 3.4
Crystal system: cubic
Symmetry: No. 225
ΔE_f (raw), eV per formula unit: -12.2

a b c (Å): 8.063 8.063 8.064
angles (deg): 60.00 60.00 90.00
Site moments in Bohr magnetons follow the coordinates.
Fractional positions:
Al 0.500 0.500 0.000  0.00
Br 0.238 0.238 0.523  0.00
Br 0.762 0.762 0.477  0.00
Br 0.238 0.762 0.000  0.00
Br 0.238 0.238 0.000  0.00
Br 0.762 0.762 0.000  0.00
Br 0.762 0.238 0.000  0.00
Rb 0.250 0.750 0.500  0.00
Rb 0.750 0.250 0.500  0.00
Zr 0.000 0.000 0.000  0.69

# 15
An optimized crystal structure of AlReBr2. Source: Alexandria via LeMat-Bulk, functional PBE-GGA.

Calculated density, g/cm3: 5.2
Distance to the lowest polymorph of the same formula, eV/atom: 0.467
Crystal system: orthorhombic
Symmetry: No. 44
ΔE_f (raw), eV per formula unit: 1.9

a b c (Å): 6.454 6.454 6.454
angles (deg): 152.07 103.95 82.84
Site moments in Bohr magnetons follow the coordinates.
Fractional positions:
Al 0.270 0.770 0.500  -0.03
Br 0.065 0.065 0.000  0.00
Br 0.683 0.183 0.500  0.02
Re 0.482 0.482 0.000  1.67

# 16
An optimized crystal structure of AlReBr. Source: Alexandria via LeMat-Bulk, functional PBE-GGA.

Calculated density, g/cm3: 8.1
Distance to the lowest polymorph of the same formula, eV/atom: 0.937
Crystal system: cubic
Symmetry: No. 216
ΔE_f (raw), eV per formula unit: 4.3

a b c (Å): 4.388 4.388 4.388
angles (deg): 60.00 60.00 60.00
Fractional positions:
Al 0.750 0.750 0.750
Re 0.500 0.500 0.500
Br 0.000 0.000 0.000

# 17
An optimized crystal structure of AlReBr2. Source: Alexandria via LeMat-Bulk, functional PBE-GGA.

Calculated density, g/cm3: 7.4
Distance to the lowest polymorph of the same formula, eV/atom: 0.320
Crystal system: tetragonal
Symmetry: No. 99
ΔE_f (raw), eV per formula unit: 1.3

a b c (Å): 3.126 3.126 8.538
angles (deg): 90.00 90.00 90.00
Fractional positions:
Al 0.500 0.500 0.712
Re 0.000 0.000 0.524
Br 0.500 0.500 0.335
Br 0.000 0.000 0.930

# 18
An optimized crystal structure of AlRe2Br. Source: Alexandria via LeMat-Bulk, functional PBE-GGA.

Calculated density, g/cm3: 13.1
Distance to the lowest polymorph of the same formula, eV/atom: 0.800
Crystal system: tetragonal
Symmetry: No. 123
ΔE_f (raw), eV per formula unit: 3.7

a b c (Å): 4.457 4.457 3.063
angles (deg): 90.00 90.00 90.00
Fractional positions:
Re 0.000 0.000 0.000
Re 0.500 0.500 0.000
Br 0.000 0.500 0.500
Al 0.500 0.000 0.500

# 19
An optimized crystal structure of AlReBr3. Source: Alexandria via LeMat-Bulk, functional PBE-GGA.

Calculated density, g/cm3: 5.2
Distance to the lowest polymorph of the same formula, eV/atom: 0.253
Crystal system: cubic
Symmetry: No. 221
ΔE_f (raw), eV per formula unit: 3.7

a b c (Å): 5.254 5.254 5.254
angles (deg): 90.00 90.00 90.00
Site moments in Bohr magnetons follow the coordinates.
Fractional positions:
Re 0.500 0.500 0.500  4.40
Br 0.000 0.000 0.500  0.08
Br 0.500 0.000 0.000  0.08
Br 0.000 0.500 0.000  0.08
Al 0.000 0.000 0.000  -0.01

# 20
An optimized crystal structure of AlReBr2. Source: Alexandria via LeMat-Bulk, functional PBE-GGA.

Calculated density, g/cm3: 7.9
Distance to the lowest polymorph of the same formula, eV/atom: 0.893
Crystal system: orthorhombic
Symmetry: No. 47
ΔE_f (raw), eV per formula unit: 3.6

a b c (Å): 3.054 5.609 4.579
angles (deg): 90.00 90.00 90.00
Site moments in Bohr magnetons follow the coordinates.
Fractional positions:
Br 0.000 0.000 0.000  0.02
Br 0.500 0.500 0.000  0.01
Al 0.000 0.500 0.500  -0.02
Re 0.500 0.000 0.500  1.18

# 21
An optimized crystal structure of AlRe2Br. Source: Alexandria via LeMat-Bulk, functional PBE-GGA.

Calculated density, g/cm3: 10.6
Distance to the lowest polymorph of the same formula, eV/atom: 0.552
Crystal system: orthorhombic
Symmetry: No. 47
ΔE_f (raw), eV per formula unit: 2.7

a b c (Å): 3.105 3.553 6.799
angles (deg): 90.00 90.00 90.00
Fractional positions:
Re 0.000 0.000 0.418
Re 0.000 0.000 0.082
Br 0.500 0.500 0.750
Al 0.500 0.500 0.250

# 22
An optimized crystal structure of AlRe4Br. Source: Alexandria via LeMat-Bulk, functional PBE-GGA.

Calculated density, g/cm3: 13.7
Crystal system: cubic
Symmetry: No. 216
ΔE_f (raw), eV per formula unit: 6.3

a b c (Å): 5.263 5.263 5.263
angles (deg): 60.00 60.00 60.00
Fractional positions:
Re 0.375 0.876 0.375
Re 0.375 0.375 0.375
Re 0.876 0.375 0.375
Re 0.375 0.375 0.876
Br 0.000 0.000 0.000
Al 0.750 0.750 0.750

# 23
An optimized crystal structure of AlReBr2. Source: Alexandria via LeMat-Bulk, functional PBE-GGA.

Calculated density, g/cm3: 7.7
Distance to the lowest polymorph of the same formula, eV/atom: 0.818
Crystal system: monoclinic
Symmetry: No. 10
ΔE_f (raw), eV per formula unit: 3.3

a b c (Å): 4.314 3.646 5.167
angles (deg): 83.33 90.00 90.00
Fractional positions:
Br 0.000 0.059 0.020
Br 0.000 0.441 0.480
Al 0.500 0.750 0.750
Re 0.500 0.250 0.250

# 24
An optimized crystal structure of Al2ReBr. Source: Alexandria via LeMat-Bulk, functional PBE-GGA.

Calculated density, g/cm3: 5.7
Distance to the lowest polymorph of the same formula, eV/atom: 0.456
Crystal system: orthorhombic
Symmetry: No. 25
ΔE_f (raw), eV per formula unit: 1.4

a b c (Å): 3.485 3.496 7.605
angles (deg): 90.00 90.00 90.00
Fractional positions:
Al 0.000 0.000 0.930
Al 0.500 0.500 0.234
Re 0.500 0.500 0.922
Br 0.000 0.000 0.415

# 25
An optimized crystal structure of AlRe2Br. Source: Alexandria via LeMat-Bulk, functional PBE-GGA.

Calculated density, g/cm3: 12.4
Distance to the lowest polymorph of the same formula, eV/atom: 0.830
Crystal system: tetragonal
Symmetry: No. 119
ΔE_f (raw), eV per formula unit: 3.8

a b c (Å): 4.758 4.758 4.758
angles (deg): 128.56 128.56 75.73
Fractional positions:
Re 0.250 0.750 0.500
Re 0.000 0.000 0.000
Br 0.750 0.250 0.500
Al 0.500 0.500 0.000

# 26
An optimized crystal structure of AlRe2Br. Source: Alexandria via LeMat-Bulk, functional PBE-GGA.

Calculated density, g/cm3: 12.5
Distance to the lowest polymorph of the same formula, eV/atom: 0.531
Crystal system: trigonal
Symmetry: No. 166
ΔE_f (raw), eV per formula unit: 2.6

a b c (Å): 9.038 9.038 9.038
angles (deg): 18.30 18.30 18.30
Fractional positions:
Al 0.250 0.250 0.250
Re 0.997 0.997 0.997
Re 0.503 0.503 0.503
Br 0.750 0.750 0.750